# K2NiIO6

An optimized crystal structure of K2NiIO6 (PBE+U, Alexandria via LeMat-Bulk).

Properties
As for the density of states at the Fermi level: 3.60 states/eV per cell. Its total energy is -4.492 eV per atom. The value obtained for the total magnetization is 0.098 μB/atom.

Structure (CIF):
```
data_K2NiIO6
_cell_length_a 5.236
_cell_length_b 5.997
_cell_length_c 5.997
_cell_angle_alpha 120.00
_cell_angle_beta 90.00
_cell_angle_gamma 90.00
_space_group_name_H-M_alt 'P 1'
_space_group_IT_number 1
_space_group_name_Hall 'P 1'
loop_
_atom_site_label
_atom_site_type_symbol
_atom_site_fract_x
_atom_site_fract_y
_atom_site_fract_z
I1 I 0.000 0.000 0.000
O1 O 0.770 0.143 0.857
O2 O 0.230 0.857 0.143
O3 O 0.770 0.715 0.857
O4 O 0.230 0.857 0.715
O5 O 0.770 0.143 0.285
O6 O 0.230 0.285 0.143
K1 K 0.259 0.333 0.667
K2 K 0.741 0.667 0.333
Ni1 Ni 0.500 0.000 0.000
```